In12Cu3Sb5: relaxed, PBE-GGA.

Computed properties:
- Uncorrected formation energy: 100 meV/atom

abc: 16.777 16.777 16.777
angles: 90.00 90.00 90.00
Space group Ia-3d (No. 230)
Asymmetric unit:
In1 0.021 0.096 0.651 x96
Cu1 0.000 0.250 0.125 x24
Sb1 0.000 0.000 0.000 x16
Sb2 0.000 0.250 0.375 x24